The following is a DFT calculation (PBE-GGA) of an optimized crystal structure of CaPr12Sm7.

Computed properties:
N(E_F)   23.522 states/eV/cell
DFT total energy   -4.04 eV/atom
ρ   5.68 g/cm3
Space group   Im-3m (229)

a b c (Å): 10.1875 10.1875 10.1875
angles (deg): 109.47 109.47 109.47
Closest atoms and distances in Å follow each position.
Fractional coordinates of all 20 atoms:
Sm (0.0000, 0.5000, 0.0000)  6 Pr 2.94
Sm (0.5000, 0.5000, 0.0000)  12 Pr 4.08-4.16
Sm (0.0000, 0.0000, 0.5000)  6 Pr 2.94
Sm (0.0000, 0.5000, 0.5000)  12 Pr 4.08-4.16
Sm (0.5000, 0.0000, 0.0000)  6 Pr 2.94
Sm (0.5000, 0.0000, 0.5000)  12 Pr 4.08-4.16
Sm (0.5000, 0.5000, 0.5000)  6 Pr 2.94
Pr (0.5096, 0.2546, 0.2550)  2 Sm 2.94
Pr (0.7454, 0.7450, 0.4904)  2 Sm 2.94
Pr (0.7450, 0.4904, 0.7454)  2 Sm 2.94
Pr (0.2550, 0.5096, 0.2546)  2 Sm 2.94
Pr (0.2550, 0.0004, 0.7454)  2 Sm 2.94
Pr (0.4904, 0.7454, 0.7450)  2 Sm 2.94
Pr (0.7450, 0.9996, 0.2546)  2 Sm 2.94
Pr (0.7454, 0.2550, 0.0004)  2 Sm 2.94
Pr (0.2546, 0.7450, 0.9996)  2 Sm 2.94
Pr (0.0004, 0.7454, 0.2550)  2 Sm 2.94
Pr (0.2546, 0.2550, 0.5096)  2 Sm 2.94
Pr (0.9996, 0.2546, 0.7450)  2 Sm 2.94
Ca (0.0000, 0.0000, 0.0000)  12 Pr 4.24